Here is a relaxed Cs2UTeO6 crystal from Alexandria via LeMat-Bulk. Energies are from PBE-GGA.

It has space group Fm-3m (No. 225), with a = 8.7592 Å, b = 8.7592 Å, c = 8.7592 Å, α = 90.00°, β = 90.00° and γ = 90.00°. The distinct sites, in fractional coordinates, are Cs at (0.2500, 0.2500, 0.2500), U at (0.0000, 0.0000, 0.0000), Te at (0.0000, 0.0000, 0.5000) and O at (0.0000, 0.0000, 0.2425).

Its energy relative to the elements, uncorrected is -2.0239 eV/atom.

Here is a relaxed CsUTe2O crystal from Alexandria via LeMat-Bulk. Energies are from PBE-GGA.

It has space group P2_1/m (No. 11), with a = 8.4734 Å, b = 4.5472 Å, c = 10.4332 Å, α = 90.00°, β = 107.51° and γ = 90.00°. The distinct sites, in fractional coordinates, are Cs at (0.1689, 0.2500, 0.3118), U at (0.3115, 0.2500, 0.8291), Te at (0.3092, 0.7500, 0.0357), Te at (0.3417, 0.7500, 0.6451) and O at (0.0818, 0.2500, 0.7709).

Its energy relative to the elements, uncorrected is -1.5004 eV/atom. The density of states at the Fermi level is 4.8 states/eV/f.u.

no.,magnetization (μB/f.u.)
1,0.0
2,1.0